Entry 1:
A plane-wave DFT calculation with PBE was carried out for a geometry-optimized CuSnW3 structure.

## Properties
- calculated volume (A^3/atom) = 18.880
- SG = Pm-3m
- calculated formation energy (eV/atom) = 1.707

Structure (CIF):
```
data_CuSnW3
_chemical_formula_sum 'Cu1 Sn1 W3'
_symmetry_space_group_name_H-M 'P 1'
_symmetry_Int_Tables_number 1
_symmetry_space_group_name_Hall 'P 1'
_cell_length_a 4.553
_cell_length_b 4.553
_cell_length_c 4.553
_cell_angle_alpha 90.00
_cell_angle_beta 90.00
_cell_angle_gamma 90.00
loop_
_atom_site_label
_atom_site_type_symbol
_atom_site_fract_x
_atom_site_fract_y
_atom_site_fract_z
Cu1 Cu 0.000 0.000 0.000
Sn1 Sn 0.500 0.500 0.500
W1 W 0.000 0.000 0.500
W2 W 0.000 0.500 0.000
W3 W 0.500 0.000 0.000
```

=====

Entry 2:
A plane-wave DFT calculation with PBE was carried out for a geometry-optimized Li3CoH6 structure.

## Properties
- calculated volume (A^3/atom) = 7.006
- SG = C2/m

Structure (CIF):
```
data_Li3CoH6
_chemical_formula_sum 'Li3 Co1 H6'
_symmetry_space_group_name_H-M 'P 1'
_symmetry_Int_Tables_number 1
_symmetry_space_group_name_Hall 'P 1'
_cell_length_a 4.600
_cell_length_b 4.600
_cell_length_c 4.643
_cell_angle_alpha 119.52
_cell_angle_beta 119.52
_cell_angle_gamma 60.14
loop_
_atom_site_label
_atom_site_type_symbol
_atom_site_fract_x
_atom_site_fract_y
_atom_site_fract_z
Li1 Li 0.000 0.000 0.000
Li2 Li 0.246 0.246 0.736
Li3 Li 0.754 0.754 0.264
Co1 Co 0.500 0.500 0.500
H1 H 0.217 0.681 0.673
H2 H 0.277 0.277 0.186
H3 H 0.319 0.783 0.327
H4 H 0.681 0.217 0.673
H5 H 0.723 0.723 0.814
H6 H 0.783 0.319 0.327
```

=====

Entry 3:
A plane-wave DFT calculation with PBE was carried out for a geometry-optimized BeS3N structure.

## Properties
- calculated volume (A^3/atom) = 13.222
- SG = Pm-3m
- formation energy from raw total energies (eV/atom) = 1.272

Structure (CIF):
```
data_BeS3N
_chemical_formula_sum 'Be1 S3 N1'
_symmetry_space_group_name_H-M 'P 1'
_symmetry_Int_Tables_number 1
_symmetry_space_group_name_Hall 'P 1'
_cell_length_a 4.043
_cell_length_b 4.043
_cell_length_c 4.043
_cell_angle_alpha 90.00
_cell_angle_beta 90.00
_cell_angle_gamma 90.00
loop_
_atom_site_label
_atom_site_type_symbol
_atom_site_fract_x
_atom_site_fract_y
_atom_site_fract_z
Be1 Be 0.000 0.000 0.000
S1 S 0.000 0.500 0.500
S2 S 0.500 0.000 0.500
S3 S 0.500 0.500 0.000
N1 N 0.500 0.500 0.500
```

=====

Entry 4:
A plane-wave DFT calculation with PBE was carried out for a geometry-optimized KBe2Ir structure.

## Properties
- calculated volume (A^3/atom) = 17.733
- SG = P4mm
- calculated formation energy (eV/atom) = 0.298

Structure (CIF):
```
data_KBe2Ir
_chemical_formula_sum 'K1 Be2 Ir1'
_symmetry_space_group_name_H-M 'P 1'
_symmetry_Int_Tables_number 1
_symmetry_space_group_name_Hall 'P 1'
_cell_length_a 3.078
_cell_length_b 3.078
_cell_length_c 7.485
_cell_angle_alpha 90.00
_cell_angle_beta 90.00
_cell_angle_gamma 90.00
loop_
_atom_site_label
_atom_site_type_symbol
_atom_site_fract_x
_atom_site_fract_y
_atom_site_fract_z
K1 K 0.000 0.000 0.000
Be1 Be 0.000 0.000 0.552
Be2 Be 0.500 0.500 0.363
Ir1 Ir 0.500 0.500 0.644
```

=====

Entry 5:
A plane-wave DFT calculation with PBE was carried out for a geometry-optimized Cs4SnS5 structure.

## Properties
- calculated volume (A^3/atom) = 40.176
- SG = I4
- formation energy from raw total energies (eV/atom) = -0.707

Structure (CIF):
```
data_Cs4SnS5
_chemical_formula_sum 'Cs4 Sn1 S5'
_symmetry_space_group_name_H-M 'P 1'
_symmetry_Int_Tables_number 1
_symmetry_space_group_name_Hall 'P 1'
_cell_length_a 8.282
_cell_length_b 8.282
_cell_length_c 8.282
_cell_angle_alpha 101.01
_cell_angle_beta 101.01
_cell_angle_gamma 128.16
loop_
_atom_site_label
_atom_site_type_symbol
_atom_site_fract_x
_atom_site_fract_y
_atom_site_fract_z
Cs1 Cs 0.088 0.703 0.791
Cs2 Cs 0.297 0.088 0.385
Cs3 Cs 0.703 0.912 0.615
Cs4 Cs 0.912 0.297 0.209
Sn1 Sn 0.424 0.424 0.000
S1 S 0.090 0.090 0.000
S2 S 0.292 0.441 0.706
S3 S 0.441 0.735 0.150
S4 S 0.586 0.292 0.850
S5 S 0.735 0.586 0.294
```

=====

Entry 6:
A plane-wave DFT calculation with PBE was carried out for a geometry-optimized Pm2DyCd8 structure.

## Properties
- calculated volume (A^3/atom) = 24.660
- SG = C2/m
- calculated formation energy (eV/atom) = -0.250

Structure (CIF):
```
data_Pm2DyCd8
_chemical_formula_sum 'Pm2 Dy1 Cd8'
_symmetry_space_group_name_H-M 'P 1'
_symmetry_Int_Tables_number 1
_symmetry_space_group_name_Hall 'P 1'
_cell_length_a 8.380
_cell_length_b 8.380
_cell_length_c 7.080
_cell_angle_alpha 106.37
_cell_angle_beta 106.37
_cell_angle_gamma 34.82
loop_
_atom_site_label
_atom_site_type_symbol
_atom_site_fract_x
_atom_site_fract_y
_atom_site_fract_z
Pm1 Pm 0.216 0.216 0.149
Pm2 Pm 0.784 0.784 0.851
Dy1 Dy 0.500 0.500 0.500
Cd1 Cd 0.015 0.015 0.217
Cd2 Cd 0.144 0.144 0.631
Cd3 Cd 0.328 0.328 0.607
Cd4 Cd 0.411 0.411 0.039
Cd5 Cd 0.589 0.589 0.961
Cd6 Cd 0.672 0.672 0.393
Cd7 Cd 0.856 0.856 0.369
Cd8 Cd 0.985 0.985 0.783
```

=====

Entry 7:
A plane-wave DFT calculation with PBE was carried out for a geometry-optimized NbBi3C structure.

## Properties
- calculated volume (A^3/atom) = 32.609
- SG = Pm-3m
- calculated formation energy (eV/atom) = 1.662

Structure (CIF):
```
data_NbBi3C
_chemical_formula_sum 'Nb1 Bi3 C1'
_symmetry_space_group_name_H-M 'P 1'
_symmetry_Int_Tables_number 1
_symmetry_space_group_name_Hall 'P 1'
_cell_length_a 5.463
_cell_length_b 5.463
_cell_length_c 5.463
_cell_angle_alpha 90.00
_cell_angle_beta 90.00
_cell_angle_gamma 90.00
loop_
_atom_site_label
_atom_site_type_symbol
_atom_site_fract_x
_atom_site_fract_y
_atom_site_fract_z
Nb1 Nb 0.000 0.000 0.000
Bi1 Bi 0.000 0.000 0.500
Bi2 Bi 0.000 0.500 0.000
Bi3 Bi 0.500 0.000 0.000
C1 C 0.500 0.500 0.500
```

=====

Entry 8:
A plane-wave DFT calculation with PBE was carried out for a geometry-optimized Ce3Ge3Pd2 structure.

## Properties
- calculated volume (A^3/atom) = 21.618
- SG = Cmcm
- calculated formation energy (eV/atom) = -0.848

Structure (CIF):
```
data_Ce3Ge3Pd2
_chemical_formula_sum 'Ce6 Ge6 Pd4'
_symmetry_space_group_name_H-M 'P 1'
_symmetry_Int_Tables_number 1
_symmetry_space_group_name_Hall 'P 1'
_cell_length_a 5.759
_cell_length_b 5.759
_cell_length_c 14.740
_cell_angle_alpha 90.00
_cell_angle_beta 90.00
_cell_angle_gamma 134.96
loop_
_atom_site_label
_atom_site_type_symbol
_atom_site_fract_x
_atom_site_fract_y
_atom_site_fract_z
Ce1 Ce 0.094 0.906 0.609
Ce2 Ce 0.094 0.906 0.891
Ce3 Ce 0.367 0.633 0.750
Ce4 Ce 0.633 0.367 0.250
Ce5 Ce 0.906 0.094 0.109
Ce6 Ce 0.906 0.094 0.391
Ge1 Ge 0.342 0.658 0.250
Ge2 Ge 0.392 0.608 0.541
Ge3 Ge 0.392 0.608 0.959
Ge4 Ge 0.608 0.392 0.041
Ge5 Ge 0.608 0.392 0.459
Ge6 Ge 0.658 0.342 0.750
Pd1 Pd 0.202 0.798 0.101
Pd2 Pd 0.202 0.798 0.399
Pd3 Pd 0.798 0.202 0.601
Pd4 Pd 0.798 0.202 0.899
```

=====

Number 1: total energy -38.425 eV per cell. Number 2: total energy -36.157 eV per cell. Number 3: total energy -18.075 eV per cell. Number 4: total energy -16.220 eV per cell. Number 5: total energy -35.129 eV per cell. Number 6: total energy -24.179 eV per cell. Number 7: total energy -22.627 eV per cell. Number 8: total energy -97.643 eV per cell.